(1)
The following is a DFT calculation (PBE-GGA) of a relaxed structure of ZnAsIrO.

Geometry as CIF:
```
data_ZnAsIrO
_cell_length_a 3.975
_cell_length_b 3.975
_cell_length_c 8.979
_cell_angle_alpha 90.00
_cell_angle_beta 90.00
_cell_angle_gamma 90.00
_symmetry_space_group_name_H-M 'P 4/n m m'
_symmetry_Int_Tables_number 129
loop_
_symmetry_equiv_pos_as_xyz
'x,y,z'
'-x,-y,-z'
'-y+1/2,x,z'
'y+1/2,-x,-z'
'-x+1/2,-y+1/2,z'
'x+1/2,y+1/2,-z'
'y,-x+1/2,z'
'-y,x+1/2,-z'
'x+1/2,-y,-z'
'-x+1/2,y,z'
'-y,-x,-z'
'y,x,z'
'-x,y+1/2,-z'
'x,-y+1/2,z'
'y+1/2,x+1/2,-z'
'-y+1/2,-x+1/2,z'
loop_
_atom_site_label
_atom_site_type_symbol
_atom_site_fract_x
_atom_site_fract_y
_atom_site_fract_z
Zn1 Zn 0.250 0.250 0.043
As1 As 0.250 0.250 0.340
Ir1 Ir 0.250 0.750 0.500
O1 O 0.250 0.750 0.000
```

## Properties
The energy relative to the lowest polymorph listed for this composition is 0.00 eV per formula unit. Its volume is 17.7 A^3/atom. Its crystal system is tetragonal.


(2)
The following is a DFT calculation (PBE-GGA) of a relaxed structure of PrHoPI2.

Geometry as CIF:
```
data_PrHoPI2
_cell_length_a 4.1720
_cell_length_b 4.1720
_cell_length_c 11.0270
_cell_angle_alpha 90.00
_cell_angle_beta 90.00
_cell_angle_gamma 120.00
_symmetry_space_group_name_H-M 'P 3 m 1'
_symmetry_Int_Tables_number 156
_symmetry_space_group_name_Hall 'P 3 -2"'
loop_
_atom_site_label
_atom_site_type_symbol
_atom_site_fract_x
_atom_site_fract_y
_atom_site_fract_z
Pr1 Pr 0.0000 0.0000 0.0000
Ho1 Ho 0.6667 0.3333 0.7220
P1 P 0.3333 0.6667 0.8502
I1 I 0.0000 0.0000 0.5393
I2 I 0.6667 0.3333 0.1964
```

## Properties
As for the energy: -0.18702 Ha/atom. Its volume is 33.2 A^3/atom. Its crystal system is trigonal.


(3)
The following is a DFT calculation (PBE-GGA) of a relaxed structure of RbPmGd.

Geometry as CIF:
```
data_RbPmGd
_cell_length_a 8.546
_cell_length_b 8.546
_cell_length_c 8.546
_cell_angle_alpha 90.00
_cell_angle_beta 90.00
_cell_angle_gamma 90.00
_symmetry_space_group_name_H-M 'F -4 3 m'
_symmetry_Int_Tables_number 216
_symmetry_space_group_name_Hall 'F -4 2 3'
loop_
_atom_site_label
_atom_site_type_symbol
_atom_site_fract_x
_atom_site_fract_y
_atom_site_fract_z
Rb1 Rb 0.000 0.000 0.000
Pm1 Pm 0.000 0.000 0.500
Gd1 Gd 0.250 0.250 0.750
```

## Properties
As for the energy: -0.08243 Ha/atom. Its volume is 52.0 A^3/atom. Its crystal system is cubic.


(4)
The following is a DFT calculation (PBE-GGA) of a relaxed structure of PrPuZn.

Geometry as CIF:
```
data_PrPuZn
_cell_length_a 7.051
_cell_length_b 7.051
_cell_length_c 7.051
_cell_angle_alpha 90.00
_cell_angle_beta 90.00
_cell_angle_gamma 90.00
_symmetry_space_group_name_H-M 'F -4 3 m'
_symmetry_Int_Tables_number 216
_symmetry_space_group_name_Hall 'F -4 2 3'
loop_
_atom_site_label
_atom_site_type_symbol
_atom_site_fract_x
_atom_site_fract_y
_atom_site_fract_z
Pr1 Pr 0.000 0.000 0.000
Pu1 Pu 0.000 0.000 0.500
Zn1 Zn 0.250 0.250 0.750
```

## Properties
The energy relative to the lowest polymorph listed for this composition is 0.00 eV per formula unit. Its volume is 29.2 A^3/atom. For the energy of formation from the pure elements, the calculation gives 0.57 eV per formula unit. Its crystal system is cubic.


(5)
The following is a DFT calculation (PBE-GGA) of a relaxed structure of KScZnSe3.

Geometry as CIF:
```
data_KScZnSe3
_cell_length_a 17.884
_cell_length_b 4.007
_cell_length_c 8.638
_cell_angle_alpha 90.00
_cell_angle_beta 101.43
_cell_angle_gamma 90.00
_symmetry_space_group_name_H-M 'C 1 2/m 1'
_symmetry_Int_Tables_number 12
_symmetry_space_group_name_Hall '-C 2y'
loop_
_atom_site_label
_atom_site_type_symbol
_atom_site_fract_x
_atom_site_fract_y
_atom_site_fract_z
K1 K 0.144 0.000 0.067
Sc1 Sc 0.175 0.000 0.574
Zn1 Zn 0.025 0.500 0.725
Se1 Se 0.000 0.000 0.500
Se2 Se 0.000 0.500 0.000
Se3 Se 0.166 0.500 0.780
Se4 Se 0.173 0.500 0.365
```

## Properties
As for the energy: -0.16027 Ha/atom. Its volume is 25.3 A^3/atom. Its crystal system is monoclinic.


(6)
The following is a DFT calculation (PBE-GGA) of a relaxed structure of NdMgB.

Geometry as CIF:
```
data_NdMgB
_cell_length_a 6.283
_cell_length_b 6.283
_cell_length_c 6.283
_cell_angle_alpha 90.00
_cell_angle_beta 90.00
_cell_angle_gamma 90.00
_symmetry_space_group_name_H-M 'F -4 3 m'
_symmetry_Int_Tables_number 216
_symmetry_space_group_name_Hall 'F -4 2 3'
loop_
_atom_site_label
_atom_site_type_symbol
_atom_site_fract_x
_atom_site_fract_y
_atom_site_fract_z
Nd1 Nd 0.000 0.000 0.000
Mg1 Mg 0.000 0.000 0.500
B1 B 0.250 0.250 0.750
```

## Properties
The energy relative to the lowest polymorph listed for this composition is 0.00 eV per formula unit. Its volume is 20.7 A^3/atom. Its crystal system is cubic.


(7)
The following is a DFT calculation (PBE-GGA) of a relaxed structure of Na2NdSnS4.

Geometry as CIF:
```
data_Na2NdSnS4
_cell_length_a 9.679
_cell_length_b 9.996
_cell_length_c 6.846
_cell_angle_alpha 90.00
_cell_angle_beta 134.91
_cell_angle_gamma 90.00
_symmetry_space_group_name_H-M 'C 1 2 1'
_symmetry_Int_Tables_number 5
_symmetry_space_group_name_Hall 'C 2y'
loop_
_atom_site_label
_atom_site_type_symbol
_atom_site_fract_x
_atom_site_fract_y
_atom_site_fract_z
Na1 Na 0.000 0.000 0.000
Na2 Na 0.000 0.249 0.500
Nd1 Nd 0.000 0.750 0.500
Sn1 Sn 0.000 0.499 0.000
S1 S 0.231 0.620 0.991
S2 S 0.240 0.379 0.472
```

## Properties
As for the energy: -0.16702 Ha/atom. Its volume is 29.3 A^3/atom. Its crystal system is monoclinic.


(8)
The following is a DFT calculation (PBE-GGA) of a relaxed structure of TbHPd3.

Geometry as CIF:
```
data_TbHPd3
_cell_length_a 4.159
_cell_length_b 4.159
_cell_length_c 4.159
_cell_angle_alpha 90.00
_cell_angle_beta 90.00
_cell_angle_gamma 90.00
_symmetry_space_group_name_H-M 'P m -3 m'
_symmetry_Int_Tables_number 221
_symmetry_space_group_name_Hall '-P 4 2 3'
loop_
_atom_site_label
_atom_site_type_symbol
_atom_site_fract_x
_atom_site_fract_y
_atom_site_fract_z
Tb1 Tb 0.000 0.000 0.000
H1 H 0.500 0.500 0.500
Pd1 Pd 0.000 0.500 0.500
```

## Properties
As for the energy: -0.19902 Ha/atom. Its volume is 14.4 A^3/atom. Its crystal system is cubic.


(9)
The following is a DFT calculation (PBE-GGA) of a relaxed structure of NdHo2Sn3Ir2Pd.

Geometry as CIF:
```
data_NdHo2Sn3Ir2Pd
_cell_length_a 3.993
_cell_length_b 13.110
_cell_length_c 7.522
_cell_angle_alpha 90.00
_cell_angle_beta 90.00
_cell_angle_gamma 90.00
_symmetry_space_group_name_H-M 'A m m 2'
_symmetry_Int_Tables_number 38
_symmetry_space_group_name_Hall 'A 2 -2'
loop_
_atom_site_label
_atom_site_type_symbol
_atom_site_fract_x
_atom_site_fract_y
_atom_site_fract_z
Nd1 Nd 0.000 0.000 0.000
Ho1 Ho 0.000 0.206 0.384
Sn1 Sn 0.500 0.000 0.329
Sn2 Sn 0.500 0.131 0.718
Ir1 Ir 0.500 0.170 0.090
Pd1 Pd 0.000 0.000 0.583
```

## Properties
As for the energy: -0.23029 Ha/atom. Its volume is 21.9 A^3/atom. Its crystal system is orthorhombic.


(10)
The following is a DFT calculation (PBE-GGA) of a relaxed structure of GaNiAgPt.

Geometry as CIF:
```
data_GaNiAgPt
_cell_length_a 6.184
_cell_length_b 6.184
_cell_length_c 6.184
_cell_angle_alpha 90.00
_cell_angle_beta 90.00
_cell_angle_gamma 90.00
_symmetry_space_group_name_H-M 'F -4 3 m'
_symmetry_Int_Tables_number 216
_symmetry_space_group_name_Hall 'F -4 2 3'
loop_
_atom_site_label
_atom_site_type_symbol
_atom_site_fract_x
_atom_site_fract_y
_atom_site_fract_z
Ga1 Ga 0.000 0.000 0.000
Ni1 Ni 0.250 0.250 0.250
Ag1 Ag 0.000 0.000 0.500
Pt1 Pt 0.250 0.250 0.750
```

## Properties
As for the energy: -0.16689 Ha/atom. Its volume is 14.8 A^3/atom. Its crystal system is cubic.


(11)
The following is a DFT calculation (PBE-GGA) of a relaxed structure of MgBeCu4B2.

Geometry as CIF:
```
data_MgBeCu4B2
_cell_length_a 3.742
_cell_length_b 3.742
_cell_length_c 5.905
_cell_angle_alpha 90.00
_cell_angle_beta 90.00
_cell_angle_gamma 90.00
_symmetry_space_group_name_H-M 'P 4/m m m'
_symmetry_Int_Tables_number 123
_symmetry_space_group_name_Hall '-P 4 2'
loop_
_atom_site_label
_atom_site_type_symbol
_atom_site_fract_x
_atom_site_fract_y
_atom_site_fract_z
Mg1 Mg 0.000 0.000 0.000
Be1 Be 0.500 0.500 0.500
Cu1 Cu 0.000 0.500 0.282
B1 B 0.000 0.000 0.500
B2 B 0.500 0.500 0.000
```

## Properties
The energy relative to the lowest polymorph listed for this composition is 0.00 eV per formula unit. Its volume is 10.3 A^3/atom. Its crystal system is tetragonal.


(12)
The following is a DFT calculation (PBE-GGA) of a relaxed structure of AgGe5Os3.

Geometry as CIF:
```
data_AgGe5Os3
_cell_length_a 5.2332
_cell_length_b 5.2332
_cell_length_c 7.2496
_cell_angle_alpha 90.00
_cell_angle_beta 90.00
_cell_angle_gamma 120.00
_symmetry_space_group_name_H-M 'P 6/m m m'
_symmetry_Int_Tables_number 191
_symmetry_space_group_name_Hall '-P 6 2'
loop_
_atom_site_label
_atom_site_type_symbol
_atom_site_fract_x
_atom_site_fract_y
_atom_site_fract_z
Ag1 Ag 0.0000 0.0000 0.0000
Ge1 Ge 0.0000 0.0000 0.5000
Ge2 Ge 0.3333 0.6667 0.1976
Os1 Os 0.0000 0.5000 0.5000
```

## Properties
As for the energy: -0.22663 Ha/atom. Its volume is 19.1 A^3/atom. Its crystal system is hexagonal.


Please write out number 9 again, unchanged.
The following is a DFT calculation (PBE-GGA) of a relaxed structure of NdHo2Sn3Ir2Pd.

Geometry as CIF:
```
data_NdHo2Sn3Ir2Pd
_cell_length_a 3.993
_cell_length_b 13.110
_cell_length_c 7.522
_cell_angle_alpha 90.00
_cell_angle_beta 90.00
_cell_angle_gamma 90.00
_symmetry_space_group_name_H-M 'A m m 2'
_symmetry_Int_Tables_number 38
_symmetry_space_group_name_Hall 'A 2 -2'
loop_
_atom_site_label
_atom_site_type_symbol
_atom_site_fract_x
_atom_site_fract_y
_atom_site_fract_z
Nd1 Nd 0.000 0.000 0.000
Ho1 Ho 0.000 0.206 0.384
Sn1 Sn 0.500 0.000 0.329
Sn2 Sn 0.500 0.131 0.718
Ir1 Ir 0.500 0.170 0.090
Pd1 Pd 0.000 0.000 0.583
```

## Properties
As for the energy: -0.23029 Ha/atom. Its volume is 21.9 A^3/atom. Its crystal system is orthorhombic.


Question: Which formula does entry 5 have?
Answer: KScZnSe3


Repeat the first record exactly.
The following is a DFT calculation (PBE-GGA) of a relaxed structure of ZnAsIrO.

Geometry as CIF:
```
data_ZnAsIrO
_cell_length_a 3.975
_cell_length_b 3.975
_cell_length_c 8.979
_cell_angle_alpha 90.00
_cell_angle_beta 90.00
_cell_angle_gamma 90.00
_symmetry_space_group_name_H-M 'P 4/n m m'
_symmetry_Int_Tables_number 129
loop_
_symmetry_equiv_pos_as_xyz
'x,y,z'
'-x,-y,-z'
'-y+1/2,x,z'
'y+1/2,-x,-z'
'-x+1/2,-y+1/2,z'
'x+1/2,y+1/2,-z'
'y,-x+1/2,z'
'-y,x+1/2,-z'
'x+1/2,-y,-z'
'-x+1/2,y,z'
'-y,-x,-z'
'y,x,z'
'-x,y+1/2,-z'
'x,-y+1/2,z'
'y+1/2,x+1/2,-z'
'-y+1/2,-x+1/2,z'
loop_
_atom_site_label
_atom_site_type_symbol
_atom_site_fract_x
_atom_site_fract_y
_atom_site_fract_z
Zn1 Zn 0.250 0.250 0.043
As1 As 0.250 0.250 0.340
Ir1 Ir 0.250 0.750 0.500
O1 O 0.250 0.750 0.000
```

## Properties
The energy relative to the lowest polymorph listed for this composition is 0.00 eV per formula unit. Its volume is 17.7 A^3/atom. Its crystal system is tetragonal.